Record 1
A relaxed structure of Ho6OsRh3, computed with PBE.

Energy relative to the elements = -537 meV/atom

Cell lengths 8.202, 11.865, 4.740 Å; angles 90.00, 90.00, 90.00 degrees
Space group Pnnm (No. 58)
Asymmetric unit:
Ho: 0.002 0.249 0.000 [4 per cell]
Ho: 0.162 0.414 0.500 [4 per cell]
Ho: 0.171 0.080 0.500 [4 per cell]
Os: 0.000 0.500 0.000 [2 per cell]
Rh: 0.000 0.000 0.000 [2 per cell]
Rh: 0.164 0.835 0.500 [4 per cell]

***

Record 2
A relaxed structure of BH4Cl2, computed with PBE.

Cell lengths 9.354, 5.190, 5.505 Å; angles 90.00, 125.07, 90.00 degrees
Space group Cm (No. 8)
Asymmetric unit:
B: 0.000 0.000 0.000 [2 per cell]
H: 0.138 0.000 0.039 [2 per cell]
H: 0.353 0.500 0.757 [2 per cell]
H: 0.418 0.306 0.840 [4 per cell]
Cl: 0.018 0.249 0.364 [4 per cell]

***

Record 3
A relaxed structure of RbNd2Tm, computed with PBE.

Energy relative to the elements = 249 meV/atom

Cell lengths 3.6801, 3.6801, 40.4314 Å; angles 90.00, 90.00, 120.00 degrees
Space group R-3m (No. 166, hexagonal axes)
Asymmetric unit:
Rb: 0.0000 0.0000 0.0000 [3 per cell]
Nd: 0.0000 0.0000 0.0969 [6 per cell]
Tm: 0.0000 0.0000 0.5000 [3 per cell]

***

The records above yield total energy values of -66.12; -22.77; -13.98 eV/f.u., respectively.